A plane-wave DFT calculation with PBE was carried out for PrEuTlCu after structural relaxation.

Values from the calculation:
- Fermi-level density of states (states/eV/f.u.) = 10.0
- DFT total energy (eV per atom) = -5.58
- formation energy (meV/atom) = -200

Lattice parameters (Å, degrees): 7.6349 7.6349 7.6349 90.00 90.00 90.00
Space group F-43m (No. 216)
One atom of each set of equivalent atoms:
Pr 0.0000 0.0000 0.0000 (multiplicity 4)
Eu 0.0000 0.0000 0.5000 (multiplicity 4)
Tl 0.2500 0.2500 0.2500 (multiplicity 4)
Cu 0.2500 0.2500 0.7500 (multiplicity 4)